1.
Here is a relaxed structure of ThTl2AgTe4 from the Alexandria database. Energies are from PBE.

Structure (POSCAR):
```
ThTl2AgTe4
1.0
7.819 0.000 0.000
0.000 4.398 0.000
-3.106 0.000 8.149
Th Tl Ag Te
1 2 1 4
Direct
0.000 0.000 0.000
0.000 0.500 0.500
0.500 0.000 0.500
0.500 0.500 0.000
0.227 0.500 0.234
0.284 0.000 0.807
0.716 0.000 0.193
0.773 0.500 0.766
```

* E_form (uncorrected): -541 meV per atom
* calculated total energy: -3.988 eV/atom



2.
Here is a relaxed structure of PrHo4Tl2 from the Alexandria database. Energies are from PBE.

Structure (POSCAR):
```
PrHo4Tl2
1.0
2.545 1.470 10.481
-2.545 1.470 10.481
0.000 -2.939 10.481
Pr Ho Tl
1 4 2
Direct
0.000 0.000 0.000
0.204 0.204 0.204
0.392 0.392 0.392
0.608 0.608 0.608
0.796 0.796 0.796
0.102 0.102 0.102
0.898 0.898 0.898
```

* ΔH_f (0 K): 0.6 eV/f.u.
* calculated total energy: -3.883 eV/atom



3.
Here is a relaxed structure of Ca3ReO from the Alexandria database. Energies are from PBE.

Structure (POSCAR):
```
Ca3ReO
1.0
5.300 0.000 0.000
0.000 5.300 0.000
0.000 0.000 5.300
Ca Re O
3 1 1
Direct
0.000 0.000 0.500
0.000 0.500 0.000
0.500 0.000 0.000
0.000 0.000 0.000
0.500 0.500 0.500
```

* E_form (uncorrected): 758 meV per atom
* calculated total energy: -3.924 eV/atom